Record 1
Material: Pu2SbPd
Method: DFT, PBE
State: relaxed

```
data_Pu2SbPd
_chemical_formula_sum 'Pu6 Sb3 Pd3'
_symmetry_space_group_name_H-M 'R -3 m'
_symmetry_Int_Tables_number 166
_symmetry_space_group_name_Hall '-R 3 2"'
_cell_length_a 4.2262
_cell_length_b 4.2262
_cell_length_c 21.5759
_cell_angle_alpha 90.00
_cell_angle_beta 90.00
_cell_angle_gamma 120.00
loop_
_atom_site_label
_atom_site_type_symbol
_atom_site_fract_x
_atom_site_fract_y
_atom_site_fract_z
_atom_site_occupancy
Pu1 Pu 0.0000 0.0000 0.2424 1
Sb1 Sb 0.0000 0.0000 0.0000 1
Pd1 Pd 0.0000 0.0000 0.5000 1
```

Values from the calculation:
The energy above the lowest structure with this stoichiometry comes out at 208.1 meV/atom. Its theoretical density is 10.690 Mg/m³. Its total DFT energy (no corrections) is -118.15 eV per cell. For the uncorrected formation energy, the calculation gives -0.3511 eV per atom. The calculation puts the total magnetization at 32.591 Bohr magnetons per cell. The calculated volume comes out at 27.811 Å³ per atom.

---

Record 2
Material: ErScSbO2
Method: DFT, PBE
State: relaxed

```
data_ErScSbO2
_chemical_formula_sum 'Er2 Sc2 Sb2 O4'
_symmetry_space_group_name_H-M 'I 4 m m'
_symmetry_Int_Tables_number 107
_symmetry_space_group_name_Hall 'I 4 -2'
_cell_length_a 3.736
_cell_length_b 3.736
_cell_length_c 12.953
_cell_angle_alpha 90.00
_cell_angle_beta 90.00
_cell_angle_gamma 90.00
loop_
_atom_site_label
_atom_site_type_symbol
_atom_site_fract_x
_atom_site_fract_y
_atom_site_fract_z
_atom_site_occupancy
Er1 Er 0.000 0.000 0.000 1
Sc1 Sc 0.000 0.000 0.663 1
Sb1 Sb 0.000 0.000 0.331 1
O1 O 0.000 0.500 0.090 1
```

Values from the calculation:
Its theoretical density is 6.721 Mg/m³. Its total DFT energy (no corrections) is -76.19 eV per cell. For the uncorrected formation energy, the calculation gives -2.6321 eV per atom. The calculation puts the total magnetization at 0.000 Bohr magnetons per cell. The calculated volume comes out at 18.084 Å³ per atom.

---

Record 3
Material: Tb3Sm4Tm
Method: DFT, PBE
State: relaxed

```
data_Tb3Sm4Tm
_chemical_formula_sum 'Tb6 Sm8 Tm2'
_symmetry_space_group_name_H-M 'C 1 2/m 1'
_symmetry_Int_Tables_number 12
_symmetry_space_group_name_Hall '-C 2y'
_cell_length_a 23.459
_cell_length_b 3.491
_cell_length_c 6.773
_cell_angle_alpha 90.00
_cell_angle_beta 106.71
_cell_angle_gamma 90.00
loop_
_atom_site_label
_atom_site_type_symbol
_atom_site_fract_x
_atom_site_fract_y
_atom_site_fract_z
_atom_site_occupancy
Tb1 Tb 0.000 0.000 0.000 1
Tb2 Tb 0.123 0.000 0.382 1
Sm1 Sm 0.124 0.000 0.867 1
Sm2 Sm 0.240 0.500 0.738 1
Tm1 Tm 0.000 0.500 0.500 1
```

Values from the calculation:
The energy above the lowest structure with this stoichiometry comes out at 141.7 meV/atom. Its theoretical density is 7.796 Mg/m³. Its energy relative to the elements is 15.81 kJ/mol of atoms. Its total DFT energy (no corrections) is -71.86 eV per cell. The calculation puts the total magnetization at 0.000 Bohr magnetons per cell. The calculated volume comes out at 33.205 Å³ per atom.

---

Record 4
Material: BeSi2Hg
Method: DFT, PBE
State: relaxed

```
data_BeSi2Hg
_chemical_formula_sum 'Be1 Si2 Hg1'
_symmetry_space_group_name_H-M 'P 4 m m'
_symmetry_Int_Tables_number 99
_symmetry_space_group_name_Hall 'P 4 -2'
_cell_length_a 3.044
_cell_length_b 3.044
_cell_length_c 7.098
_cell_angle_alpha 90.00
_cell_angle_beta 90.00
_cell_angle_gamma 90.00
loop_
_atom_site_label
_atom_site_type_symbol
_atom_site_fract_x
_atom_site_fract_y
_atom_site_fract_z
_atom_site_occupancy
Be1 Be 0.000 0.000 0.000 1
Si1 Si 0.000 0.000 0.641 1
Si2 Si 0.500 0.500 0.838 1
Hg1 Hg 0.500 0.500 0.273 1
```

Values from the calculation:
The energy above the lowest structure with this stoichiometry comes out at 96.1 meV/atom. Its theoretical density is 6.711 Mg/m³. Its total DFT energy (no corrections) is -12.75 eV per cell. For the uncorrected formation energy, the calculation gives 0.5306 eV per atom. The calculation puts the total magnetization at 0.000 Bohr magnetons per cell. The calculated volume comes out at 16.442 Å³ per atom.